Record 1
VASP calculation (PBE) on UAlGaCu after structural relaxation.

- Spin magnetization: 8.7 μB per cell
- DOS(E_F): 7.115 states/eV/f.u.
- Symmetry: F-43m (216)
- Formation energy: -4 meV per atom
- E: -5.5429 eV/atom

Structure (POSCAR):
```
UAlGaCu
1.0
6.599 0.000 0.000
0.000 6.599 0.000
0.000 0.000 6.599
U Al Ga Cu
4 4 4 4
Direct
0.000 0.000 0.000
0.000 0.500 0.500
0.500 0.000 0.500
0.500 0.500 0.000
0.000 0.000 0.500
0.000 0.500 0.000
0.500 0.000 0.000
0.500 0.500 0.500
0.250 0.250 0.750
0.250 0.750 0.250
0.750 0.250 0.250
0.750 0.750 0.750
0.250 0.250 0.250
0.250 0.750 0.750
0.750 0.250 0.750
0.750 0.750 0.250
```

=====

Record 2
VASP calculation (PBE) on MgTc2Sn after structural relaxation.

- Spin magnetization: 9.2 μB per cell
- E above lowest polymorph: 0.0 kJ/mol of atoms
- DOS(E_F): 4.927 states/eV/f.u.
- Symmetry: Fm-3m (225)
- Formation energy: 266 meV per atom
- E: -6.3163 eV/atom

Structure (POSCAR):
```
MgTc2Sn
1.0
6.431 0.000 0.000
0.000 6.431 0.000
0.000 0.000 6.431
Mg Tc Sn
4 8 4
Direct
0.000 0.000 0.000
0.000 0.500 0.500
0.500 0.000 0.500
0.500 0.500 0.000
0.250 0.250 0.250
0.250 0.250 0.750
0.250 0.750 0.250
0.250 0.750 0.750
0.750 0.250 0.250
0.750 0.250 0.750
0.750 0.750 0.250
0.750 0.750 0.750
0.000 0.000 0.500
0.000 0.500 0.000
0.500 0.000 0.000
0.500 0.500 0.500
```